# 1
The following is a meta-GGA SCAN calculation of a PBEsol-optimized structure of KAsSeN2, from Alexandria.

- uncorrected formation energy (eV per formula unit) = 4.472
- mass density (g cm⁻³) = 4.31

Unit cell a=4.090 b=4.090 c=5.086 alpha=90.00 beta=90.00 gamma=90.00
Sites, in units of the cell vectors:
K 0.000 0.000 0.000
As 0.500 0.500 0.500
Se 0.500 0.500 0.000
N 0.000 0.500 0.500
N 0.500 0.000 0.500

# 2
The following is a meta-GGA SCAN calculation of a PBEsol-optimized structure of KTe2AsN, from Alexandria.

- uncorrected formation energy (eV per formula unit) = 8.212
- mass density (g cm⁻³) = 4.01

Unit cell a=5.886 b=5.886 c=4.577 alpha=90.00 beta=90.00 gamma=90.00
Sites, in units of the cell vectors:
K 0.000 0.000 0.000
Te 0.000 0.500 0.000
Te 0.500 0.000 0.000
As 0.500 0.500 0.500
N 0.000 0.000 0.500

# 3
The following is a meta-GGA SCAN calculation of a PBEsol-optimized structure of KNa2As2, from Alexandria.

- formation energy from the elements (eV/atom) = -0.47
- mass density (g cm⁻³) = 2.88

Unit cell a=6.836 b=6.836 c=6.836 alpha=139.09 beta=139.09 gamma=59.24
Sites, in units of the cell vectors:
K 0.000 0.000 0.000
Na 0.250 0.750 0.500
Na 0.750 0.250 0.500
As 0.400 0.400 0.000
As 0.600 0.600 0.000

# 4
The following is a meta-GGA SCAN calculation of a PBEsol-optimized structure of KNa3As, from Alexandria.

- formation energy from the elements (eV/atom) = 0.66
- mass density (g cm⁻³) = 1.74

Unit cell a=5.593 b=5.593 c=5.593 alpha=90.00 beta=90.00 gamma=90.00
Sites, in units of the cell vectors:
K 0.000 0.000 0.000
Na 0.000 0.000 0.500
Na 0.000 0.500 0.000
Na 0.500 0.000 0.000
As 0.500 0.500 0.500